Density functional theory data (PBE) for crystalline Tb3Sm4Sc at its relaxed geometry.

Unit cell a=11.3823 b=7.2476 c=6.2526 alpha=90.00 beta=90.00 gamma=90.00
Atoms (fractional coordinates):
Tb  0.0000  0.1224  0.0000
Tb  0.2494  0.1206  0.3302
Tb  0.2506  0.8794  0.8302
Tb  0.5000  0.8776  0.5000
Tb  0.7494  0.8794  0.8302
Tb  0.7506  0.1206  0.3302
Sm  0.0000  0.3711  0.5057
Sm  0.0000  0.6278  0.9923
Sm  0.2436  0.6296  0.3374
Sm  0.2564  0.3704  0.8374
Sm  0.5000  0.3722  0.4923
Sm  0.5000  0.6289  0.0057
Sm  0.7436  0.3704  0.8374
Sm  0.7564  0.6296  0.3374
Sc  0.0000  0.8805  0.4981
Sc  0.5000  0.1195  0.9981

Calculated values
**Magnetization**: 0.0 Bohr magnetons per cell
**Energy relative to the lowest polymorph listed for this composition**: 0.000 eV/atom
**Calculated total energy**: -77.64 eV for the cell shown
**Volume**: 516 Å³ per cell
**ΔH_f (0 K)**: 0.04 eV per atom